DFT (PBE-GGA) results for a relaxed structure of Si2MoAu.

Lattice parameters (Å, degrees): 2.870 2.870 7.868 90.00 90.00 103.83
Positions (direct):
1 Si 0.000 0.000 0.229
2 Si 0.000 0.000 0.771
3 Mo 0.500 0.500 0.000
4 Au 0.500 0.500 0.500

* symmetry: Cmmm, No. 65
* E above lowest polymorph: 284 meV/atom
* mass density: 9.21 g/cm3
* formation energy (no corrections): 0.221 eV per atom